(1)
Density functional theory data (PBE-GGA) for a relaxed SrLiAcGe crystal.

Unit cell a=5.5479 b=5.5479 c=5.5479 alpha=60.00 beta=60.00 gamma=60.00
Element x y z (fractional)
Sr 0.0000 0.0000 0.0000
Ac 0.5000 0.5000 0.5000
Ge 0.2500 0.2500 0.2500
Li 0.7500 0.7500 0.7500

Results
symmetry	No. 216
DFT formation energy	-303	meV per atom

(2)
Density functional theory data (PBE-GGA) for a relaxed SrLi2AcGe2 crystal.

Unit cell a=4.6843 b=4.6843 c=8.1883 alpha=90.00 beta=90.00 gamma=120.00
Element x y z (fractional)
Sr 0.0000 0.0000 0.5000
Li 0.3333 0.6667 0.7405
Li 0.6667 0.3333 0.2595
Ac 0.0000 0.0000 0.0000
Ge 0.3333 0.6667 0.2377
Ge 0.6667 0.3333 0.7623

Results
symmetry	No. 164
DFT formation energy	-527	meV per atom

(3)
Density functional theory data (PBE-GGA) for a relaxed Li2AcTb2Ge2 crystal.

Unit cell a=4.5928 b=4.5928 c=9.7050 alpha=76.31 beta=76.31 gamma=60.00
Element x y z (fractional)
Li 0.5858 0.5858 0.2426
Li 0.4142 0.4142 0.7574
Ac 0.0000 0.0000 0.0000
Tb 0.1304 0.1304 0.6089
Tb 0.8696 0.8696 0.3911
Ge 0.7463 0.7463 0.7612
Ge 0.2537 0.2537 0.2388

Results
symmetry	No. 166
DFT formation energy	-480	meV per atom

(4)
Density functional theory data (PBE-GGA) for a relaxed Li3Ac2TlGe4 crystal.

Unit cell a=4.4461 b=4.4461 c=11.2078 alpha=90.00 beta=90.00 gamma=90.00
Element x y z (fractional)
Li 0.0000 0.0000 0.5000
Li 0.5000 0.0000 0.8831
Li 0.0000 0.5000 0.1169
Ac 0.5000 0.0000 0.2333
Ac 0.0000 0.5000 0.7667
Tl 0.5000 0.5000 0.5000
Ge 0.5000 0.5000 0.0000
Ge 0.0000 0.0000 0.0000
Ge 0.5000 0.0000 0.6564
Ge 0.0000 0.5000 0.3436

Results
symmetry	No. 115
DFT formation energy	-512	meV per atom